# HfTeW3

A geometry-optimized HfTeW3 structure (PBE-GGA, Alexandria).

a b c (Å): 4.8791 4.8791 4.8791
angles (deg): 90.00 90.00 90.00
Last column: nearest neighbours and their distance in Å.
Space group Pm-3m (No. 221)
One atom of each set of equivalent atoms:
Hf1 0.0000 0.0000 0.0000 (multiplicity 1)  6 W 2.44
Te1 0.5000 0.5000 0.5000 (multiplicity 1)  12 W 3.45
W1 0.0000 0.0000 0.5000 (multiplicity 3)  2 Hf 2.44

Summary:
Its magnetic moment is 0.0 μB per cell. The calculated volume comes out at 116 Å³/f.u. The total energy comes out at -7.94 eV per atom. The energy above the most stable polymorph in this dataset is 355 meV per atom. Its uncorrected formation energy is 12.234 eV/f.u.